1.
VASP calculation (PBE) on a relaxed structure of Rb2TeSO6.

a = 6.6852 Å, b = 6.6852 Å, c = 6.6852 Å
α = 132.05°, β = 132.05°, γ = 70.15°
Last column: nearest neighbours and their distance in Å.
Element x y z (fractional)
Rb: 0.2500 0.7500 0.5000  4 O 2.85
Rb: 0.7500 0.2500 0.5000  4 O 2.85
Te: 0.0000 0.0000 0.0000  6 O 1.87-2.07
S: 0.5000 0.5000 0.0000  4 O 1.77
O: 0.1709 0.1709 0.0000  1 Te 1.87
O: 0.2691 0.2691 0.5381  1 S 1.77
O: 0.2691 0.7309 0.0000  1 S 1.77
O: 0.7309 0.2691 0.0000  1 S 1.77
O: 0.7309 0.7309 0.4619  1 S 1.77
O: 0.8291 0.8291 0.0000  1 Te 1.87

Summary:
- space-group type = I4/mmm, No. 139
- E_form (uncorrected) (meV per atom) = -917

=====

2.
VASP calculation (PBE) on a relaxed structure of ErMg4Pb7.

a = 7.4755 Å, b = 7.4755 Å, c = 10.5868 Å
α = 120.53°, β = 120.53°, γ = 46.03°
Last column: nearest neighbours and their distance in Å.
Element x y z (fractional)
Er: 0.0000 0.0000 0.0000  2 Pb 2.92
Mg: 0.2923 0.2923 0.6784  6 Pb 3.00-3.30, 1 Mg 3.23
Mg: 0.4416 0.4416 0.2298  4 Pb 2.95-3.27, 1 Mg 3.23
Mg: 0.5584 0.5584 0.7702  4 Pb 2.95-3.27, 1 Mg 3.23
Mg: 0.7077 0.7077 0.3216  6 Pb 3.00-3.30, 1 Mg 3.23
Pb: 0.0802 0.0802 0.3587  3 Mg 3.01-3.34, 2 Pb 3.31-3.34, 1 Er 3.32
Pb: 0.2084 0.2084 0.8915  4 Mg 3.05-3.39, 1 Pb 3.34
Pb: 0.3415 0.3415 0.4146  5 Mg 2.95-3.30
Pb: 0.5000 0.5000 0.0000  2 Er 2.92, 4 Mg 2.95-3.00
Pb: 0.6585 0.6585 0.5854  5 Mg 2.95-3.30
Pb: 0.7916 0.7916 0.1085  4 Mg 3.05-3.39, 1 Pb 3.34
Pb: 0.9198 0.9198 0.6413  3 Mg 3.01-3.34, 2 Pb 3.31-3.34, 1 Er 3.32

Summary:
- calculated formation energy (eV per atom) = 0.019
- space-group type = C2/m, No. 12